No. 1
## Ga3Hg (PBE)

Data for a geometry-optimized Ga3Hg structure.

Results
E_tot, eV per atom: -2.2725
ΔE_f, eV/atom: 0.073

a b c (Å): 5.164 5.164 5.164
angles (deg): 128.14 128.14 76.40
Fractional coordinates of all 4 atoms:
Ga 0.000 0.000 0.000
Ga 0.250 0.750 0.500
Ga 0.750 0.250 0.500
Hg 0.500 0.500 0.000

No. 2
## Ga6Hg (PBE)

Data for a geometry-optimized Ga6Hg structure.

Results
E_tot, eV per atom: -2.3766
ΔE_f, eV/atom: 0.261
E above lowest polymorph, eV per formula unit: 1.540

a b c (Å): 6.252 6.252 6.252
angles (deg): 109.47 109.47 109.47
Fractional coordinates of all 7 atoms:
Ga 0.250 0.500 0.750
Ga 0.250 0.750 0.500
Ga 0.500 0.250 0.750
Ga 0.500 0.750 0.250
Ga 0.750 0.250 0.500
Ga 0.750 0.500 0.250
Hg 0.000 0.000 0.000

No. 3
## Ga3Hg4 (PBE)

Data for a geometry-optimized Ga3Hg4 structure.

Results
E_tot, eV per atom: -1.4042
ΔE_f, eV/atom: 0.066

a b c (Å): 3.122 3.122 17.072
angles (deg): 94.48 94.48 89.22
Fractional coordinates of all 7 atoms:
Ga 0.000 0.000 0.000
Ga 0.232 0.232 0.443
Ga 0.768 0.768 0.557
Hg 0.035 0.035 0.283
Hg 0.448 0.448 0.867
Hg 0.552 0.552 0.133
Hg 0.965 0.965 0.717

No. 4
## Ga3Hg (PBE)

Data for a geometry-optimized Ga3Hg structure.

Results
E_tot, eV per atom: -2.2245
ΔE_f, eV/atom: 0.121

a b c (Å): 4.912 4.912 4.912
angles (deg): 60.00 60.00 60.00
Fractional coordinates of all 4 atoms:
Ga 0.000 0.000 0.000
Ga 0.250 0.250 0.250
Ga 0.750 0.750 0.750
Hg 0.500 0.500 0.500

No. 5
## HoGa4Hg (PBE)

Data for a geometry-optimized HoGa4Hg structure.

Results
E_tot, eV per atom: -3.0224
ΔE_f, eV/atom: -0.191

a b c (Å): 5.579 5.579 5.579
angles (deg): 60.00 60.00 60.00
Fractional coordinates of all 6 atoms:
Ho 0.000 0.000 0.000
Ga 0.124 0.625 0.625
Ga 0.625 0.124 0.625
Ga 0.625 0.625 0.124
Ga 0.625 0.625 0.625
Hg 0.250 0.250 0.250

No. 6
## Ho6GaHg5 (PBE)

Data for a geometry-optimized Ho6GaHg5 structure.

Results
E_tot, eV per atom: -3.1592
ΔE_f, eV/atom: -0.492

a b c (Å): 9.030 9.030 9.030
angles (deg): 146.53 131.73 60.01
Fractional coordinates of all 12 atoms:
Ho 0.082 0.336 0.746
Ho 0.242 0.000 0.242
Ho 0.410 0.664 0.746
Ho 0.590 0.336 0.254
Ho 0.758 0.000 0.758
Ho 0.918 0.664 0.254
Ga 0.000 0.500 0.500
Hg 0.169 0.169 0.000
Hg 0.334 0.834 0.500
Hg 0.500 0.500 0.000
Hg 0.666 0.166 0.500
Hg 0.831 0.831 0.000

No. 7
## Ho2GaHg3 (PBE)

Data for a geometry-optimized Ho2GaHg3 structure.

Results
E_tot, eV per atom: -2.5973
ΔE_f, eV/atom: -0.416

a b c (Å): 9.615 9.038 5.932
angles (deg): 76.84 66.25 36.92
Fractional coordinates of all 12 atoms:
Ho 0.246 0.754 0.754
Ho 0.250 0.250 0.250
Ho 0.750 0.750 0.750
Ho 0.754 0.246 0.246
Ga 0.332 0.332 0.668
Ga 0.668 0.668 0.332
Hg 0.170 0.170 0.830
Hg 0.173 0.656 0.344
Hg 0.344 0.827 0.173
Hg 0.656 0.173 0.827
Hg 0.827 0.344 0.656
Hg 0.830 0.830 0.170

No. 8
## Ho4Ga12Hg (PBE)

Data for a geometry-optimized Ho4Ga12Hg structure.

Results
E_tot, eV per atom: -3.6849
ΔE_f, eV/atom: -0.453

a b c (Å): 7.584 7.584 7.584
angles (deg): 109.47 109.47 109.47
Fractional coordinates of all 17 atoms:
Ho 0.000 0.000 0.500
Ho 0.000 0.500 0.000
Ho 0.500 0.000 0.000
Ho 0.500 0.500 0.500
Ga 0.000 0.312 0.312
Ga 0.000 0.688 0.688
Ga 0.250 0.500 0.750
Ga 0.250 0.750 0.500
Ga 0.312 0.000 0.312
Ga 0.312 0.312 0.000
Ga 0.500 0.250 0.750
Ga 0.500 0.750 0.250
Ga 0.688 0.000 0.688
Ga 0.688 0.688 0.000
Ga 0.750 0.250 0.500
Ga 0.750 0.500 0.250
Hg 0.000 0.000 0.000

No. 9
## HoGaHg2 (PBE)

Data for a geometry-optimized HoGaHg2 structure.

Results
E_tot, eV per atom: -2.3917
ΔE_f, eV/atom: -0.340

a b c (Å): 4.384 4.384 4.713
angles (deg): 90.00 90.00 90.00
Fractional coordinates of all 4 atoms:
Ho 0.000 0.000 0.000
Ga 0.500 0.500 0.000
Hg 0.000 0.500 0.500
Hg 0.500 0.000 0.500

No. 10
## Ho5Ga2Hg (PBE)

Data for a geometry-optimized Ho5Ga2Hg structure.

Results
E_tot, eV per atom: -3.9811
ΔE_f, eV/atom: -0.326
E above lowest polymorph, eV per formula unit: 1.109

a b c (Å): 5.055 5.055 19.635
angles (deg): 90.00 90.00 120.04
Fractional coordinates of all 16 atoms:
Ho 0.001 0.999 0.653
Ho 0.001 0.999 0.847
Ho 0.332 0.668 0.250
Ho 0.334 0.666 0.554
Ho 0.334 0.666 0.946
Ho 0.666 0.334 0.054
Ho 0.666 0.334 0.446
Ho 0.668 0.332 0.750
Ho 0.999 0.001 0.153
Ho 0.999 0.001 0.347
Ga 0.333 0.667 0.096
Ga 0.333 0.667 0.404
Ga 0.667 0.333 0.596
Ga 0.667 0.333 0.904
Hg 0.335 0.665 0.750
Hg 0.665 0.335 0.250

No. 11
## Ho3Ga4Hg2 (PBE)

Data for a geometry-optimized Ho3Ga4Hg2 structure.

Results
E_tot, eV per atom: -3.4557
ΔE_f, eV/atom: -0.517

a b c (Å): 5.849 5.849 8.631
angles (deg): 111.22 111.22 45.78
Fractional coordinates of all 9 atoms:
Ho 0.000 0.000 0.000
Ho 0.339 0.339 0.329
Ho 0.661 0.661 0.671
Ga 0.049 0.049 0.386
Ga 0.262 0.262 0.938
Ga 0.738 0.738 0.062
Ga 0.951 0.951 0.614
Hg 0.376 0.376 0.714
Hg 0.624 0.624 0.286

No. 12
## Ho4Ga2Hg (PBE)

Data for a geometry-optimized Ho4Ga2Hg structure.

Results
E_tot, eV per atom: -3.7968
ΔE_f, eV/atom: -0.273
E above lowest polymorph, eV per formula unit: 0.965

a b c (Å): 9.485 9.485 9.485
angles (deg): 30.20 30.20 30.20
Fractional coordinates of all 7 atoms:
Ho 0.119 0.119 0.119
Ho 0.296 0.296 0.296
Ho 0.704 0.704 0.704
Ho 0.881 0.881 0.881
Ga 0.402 0.402 0.402
Ga 0.598 0.598 0.598
Hg 0.500 0.500 0.500

| no. | Fermi-level density of states (states/eV per cell) |
| --- | --- |
| 1 | 1.7 |
| 2 | 3.9 |
| 3 | 1.5 |
| 4 | 3.8 |
| 5 | 4.6 |
| 6 | 11.0 |
| 7 | 8.1 |
| 8 | 9.6 |
| 9 | 3.7 |
| 10 | 21.0 |
| 11 | 5.3 |
| 12 | 8.1 |